This record from the Alexandria database describes a relaxed ReTcOs2 crystal. The functional is PBE.

Calculated values
calculated volume: 174.56 Å³ per cell
N(E_F): 1.126 states/eV/atom
calculated formation energy: 1.35 eV per atom
SG: I-42d (122)
VASP energy: -9.9719 eV per atom

Unit cell a=6.8099 b=6.8099 c=6.8099 alpha=131.28 beta=131.28 gamma=71.37
With the nearest neighbours (Å) after each atom.
Positions (direct):
Re: 0.0000 0.0000 0.0000  4 Os 2.43
Re: 0.7500 0.2500 0.5000  4 Os 2.43
Tc: 0.2500 0.7500 0.5000  4 Os 2.41
Tc: 0.5000 0.5000 0.0000  4 Os 2.41
Os: 0.1268 0.6250 0.0018  2 Tc 2.41, 2 Re 2.43
Os: 0.3750 0.3768 0.5018  2 Tc 2.41, 2 Re 2.43
Os: 0.6232 0.1250 0.9982  2 Tc 2.41, 2 Re 2.43
Os: 0.8750 0.8732 0.4982  2 Tc 2.41, 2 Re 2.43